No. 1
SCAN Ca2CuAu, PBEsol geometry; formation energy from the elements = -483 meV/atom; VASP energy = -26.40 eV/atom; density of states at the Fermi level = 2.689 states/eV/cell
1.0
3.5395 0.0000 0.0000
0.0000 3.5395 0.0000
0.0000 0.0000 7.0409
Cu Ca Au
1 2 1
Cartesian
1.7698 1.7698 0.0000
0.0000 0.0000 5.2970
0.0000 0.0000 1.7439
1.7698 1.7698 3.5204

---

No. 2
SCAN Mn2FeRu, PBEsol geometry; formation energy from the elements = -55 meV/atom; energy above the most stable polymorph in this dataset = 0.0 kJ/mol of atoms; VASP energy = -22.42 eV/atom; density of states at the Fermi level = 2.815 states/eV/cell
1.0
-0.3606 1.9618 -2.0305
-2.4463 -1.2391 -0.7627
-2.8528 3.3364 3.7301
Mn Ru Fe
2 1 1
Cartesian
-2.0922 2.4468 2.7356
-0.7607 0.8896 0.9946
-1.4035 0.3613 -1.3966
-2.8299 2.0295 0.4685

---

No. 3
SCAN La2ScTa, PBEsol geometry; formation energy from the elements = 450 meV/atom; energy above the most stable polymorph in this dataset = 1.5 kJ/mol of atoms; VASP energy = -41.31 eV/atom; density of states at the Fermi level = 4.453 states/eV/cell
1.0
-3.1355 0.1524 -0.8107
-1.2009 -1.1197 4.4342
-0.1000 6.4143 1.5926
La Ta Sc
2 1 1
Cartesian
-0.0743 4.7647 1.1830
-0.0257 1.6495 0.4096
-2.2182 2.7235 2.6080
-2.1682 -0.4836 1.8117

---

No. 4
SCAN Be4CdBr, PBEsol geometry; formation energy (no corrections) = 0.697 eV/atom; VASP energy = -10.52 eV/atom; density of states at the Fermi level = 1.461 states/eV/cell
1.0
4.8251 0.0000 0.0000
2.4125 4.1786 0.0000
2.4125 1.3929 3.9397
Be Cd Br
4 1 1
Cartesian
4.8251 2.7858 3.4976
3.5776 2.0655 1.4606
6.0725 2.0655 1.4606
4.8251 4.2262 1.4606
0.0000 0.0000 0.0000
7.2376 4.1786 2.9547

---

No. 5
SCAN Rb2BaRu, PBEsol geometry; formation energy from the elements = 1184 meV/atom; VASP energy = -27.78 eV/atom; density of states at the Fermi level = 6.616 states/eV/cell
1.0
-5.6836 0.8128 -0.6670
-3.6548 -1.5605 4.1971
-2.7261 4.0395 3.1080
Rb Ru Ba
2 1 1
Cartesian
-9.0484 2.4689 4.9786
-3.0161 0.8230 1.6595
0.0000 0.0000 0.0000
-6.0323 1.6459 3.3191

---

No. 6
SCAN La2MgCd2, PBEsol geometry; formation energy from the elements = -354 meV/atom; energy above the most stable polymorph in this dataset = 0.0 kJ/mol of atoms; VASP energy = -30.76 eV/atom; density of states at the Fermi level = 8.025 states/eV/cell
1.0
-3.5768 -2.6975 -2.0663
4.4763 -6.0775 0.1854
-2.6468 -1.7404 6.8537
Cd La Mg
4 4 2
Cartesian
2.4946 -4.1347 1.0795
2.1544 -6.3397 4.5471
-0.6651 -3.6832 5.9596
-0.3249 -1.4782 2.4921
1.0791 -7.0769 1.4811
-2.8264 -3.4385 3.4917
-1.0859 -6.8044 4.8730
-0.6614 -3.7109 0.0998
0.9147 -3.9089 3.5196
0.0000 0.0000 0.0000